No. 1
Here is an optimized crystal structure of CaNbPtI2 from Alexandria via LeMat-Bulk. Energies are from PBEsol.

Cell lengths 4.9875, 5.4164, 5.4164 Å; angles 90.00, 90.00, 90.00 degrees
Closest atoms and distances in Å follow each position.
Fractional coordinates of all 5 atoms:
1 Ca 0.5000 0.5000 0.5000  8 I 3.68, 4 Pt 3.83
2 I 0.0000 0.5000 0.0000  2 Nb 2.71
3 Nb 0.0000 0.0000 0.0000  2 Pt 2.49, 4 I 2.71
4 Pt 0.5000 0.0000 0.0000  2 Nb 2.49
5 I 0.0000 0.0000 0.5000  2 Nb 2.71

- uncorrected formation energy (eV/atom) = 0.012
- density (g/cm³) = 6.6

No. 2
Here is an optimized crystal structure of CaNiSb2I from Alexandria via LeMat-Bulk. Energies are from PBEsol.

Cell lengths 4.9049, 4.9049, 5.5931 Å; angles 90.00, 90.00, 90.00 degrees
Closest atoms and distances in Å follow each position.
Fractional coordinates of all 5 atoms:
1 Sb 0.0000 0.5000 0.0000  2 Ni 2.45
2 Ca 0.5000 0.5000 0.5000  4 I 3.47, 8 Sb 3.72
3 Sb 0.5000 0.0000 0.0000  2 Ni 2.45
4 I 0.0000 0.0000 0.5000  2 Ni 2.80
5 Ni 0.0000 0.0000 0.0000  4 Sb 2.45

- uncorrected formation energy (eV/atom) = -0.171
- density (g/cm³) = 5.8

No. 3
Here is an optimized crystal structure of Ca2IO from Alexandria via LeMat-Bulk. Energies are from PBEsol.

Cell lengths 6.4085, 7.0105, 6.4085 Å; angles 62.80, 90.00, 117.20 degrees
Closest atoms and distances in Å follow each position.
Fractional coordinates of all 8 atoms:
1 I 0.7500 0.5000 0.7500  4 Ca 3.17
2 O 0.2500 0.5000 0.2500  4 Ca 2.24
3 Ca 0.8750 0.2500 0.5018  2 O 2.24
4 O 0.5000 0.0000 0.5000  4 Ca 2.24
5 Ca 0.5018 0.7500 0.3750  2 O 2.24
6 I 0.0000 0.0000 0.0000  4 Ca 3.17
7 Ca 0.3750 0.2500 0.2482  2 O 2.24
8 Ca 0.2482 0.7500 0.8750  2 O 2.24

- uncorrected formation energy (eV/atom) = -1.861
- density (g/cm³) = 3.4

No. 4
Here is an optimized crystal structure of CaPIO2 from Alexandria via LeMat-Bulk. Energies are from PBEsol.

Cell lengths 4.2226, 4.2226, 6.4774 Å; angles 90.00, 90.00, 90.00 degrees
Closest atoms and distances in Å follow each position.
Fractional coordinates of all 5 atoms:
1 Ca 0.0000 0.0000 0.0000  4 O 2.11
2 O 0.5000 0.0000 0.0000  2 Ca 2.11
3 O 0.0000 0.5000 0.0000  2 Ca 2.11
4 I 0.0000 0.0000 0.5000  4 P 2.99, 2 Ca 3.24
5 P 0.5000 0.5000 0.5000  4 I 2.99

- uncorrected formation energy (eV/atom) = -0.052
- density (g/cm³) = 3.3